{"formula": "Nb2Al2Ni3", "functional": "PBE", "state": "relaxed", "cell": [[3.885, 0.000, -1.083], [-2.094, 3.448, -0.001], [0.015, 0.012, 7.546]], "species": ["Nb", "Nb", "Al", "Al", "Ni", "Ni", "Ni"], "frac_coords": [[0.257, 0.129, 0.386], [0.743, 0.871, 0.614], [0.753, 0.376, 0.129], [0.247, 0.624, 0.871], [0.000, 0.000, 0.000], [0.516, 0.258, 0.774], [0.484, 0.742, 0.226]], "dos_at_fermi_per_ev_cell": 7.33, "total_energy_ev_per_atom": -6.700, "formation_enthalpy_0k_mev_per_atom": -276, "density_g_cm3": 6.83}



{"formula": "NbAlNi2", "functional": "PBE", "state": "relaxed", "cell": [[3.783, 0.000, 0.000], [0.000, 3.783, 0.000], [1.891, 1.891, 8.343]], "species": ["Ni", "Ni", "Ni", "Ni", "Nb", "Nb", "Al", "Al"], "frac_coords": [[0.606, 0.125, 0.250], [0.144, 0.625, 0.250], [0.375, 0.394, 0.750], [0.875, 0.856, 0.750], [0.000, 0.000, 0.000], [0.750, 0.250, 0.500], [0.500, 0.500, 0.000], [0.250, 0.750, 0.500]], "dos_at_fermi_per_ev_cell": 13.28, "total_energy_ev_per_atom": -6.225, "formation_enthalpy_0k_mev_per_atom": 118, "density_g_cm3": 6.60}